(1)
# Tb5DyTm4

Crystalline Tb5DyTm4 at its relaxed geometry (PBE, the Alexandria database).

Calculated values
Symmetry: I4
ΔE_f, eV/atom: 0.310
DFT total energy, eV/cell: -42.5
Fermi-level density of states, states/eV/f.u.: 14.479

Structure (POSCAR):
```
Tb5DyTm4
1.0
-0.9459 -0.1793 -6.1916
6.0803 -2.7529 -4.0198
-3.0781 -6.7046 -2.5062
Tb Tm Dy
5 4 1
Direct
0.8062 0.3784 0.9117
0.1845 0.9117 0.6216
0.0962 0.6216 0.0883
0.7179 0.0883 0.3784
0.6799 0.0000 0.0000
0.1044 0.2978 0.3952
0.4021 0.3952 0.7022
0.7973 0.7022 0.6048
0.4996 0.6048 0.2978
0.2222 0.0000 0.0000
```


(2)
# AcSn2Pt5Au

Crystalline AcSn2Pt5Au at its relaxed geometry (PBE, the Alexandria database).

Calculated values
Symmetry: P4/mmm
ΔE_f, eV/atom: -0.354
DFT total energy, eV/cell: -48.8
Fermi-level density of states, states/eV/f.u.: 3.982

Structure (POSCAR):
```
AcSn2Pt5Au
1.0
4.2147 0.0000 0.0000
0.0000 4.2147 0.0000
0.0000 0.0000 10.5779
Sn Pt Ac Au
2 5 1 1
Direct
0.5000 0.5000 0.1312
0.5000 0.5000 0.8688
0.5000 0.0000 0.2875
0.5000 0.0000 0.7125
0.0000 0.5000 0.2875
0.5000 0.5000 0.5000
0.0000 0.5000 0.7125
0.0000 0.0000 0.5000
0.0000 0.0000 0.0000
```


(3)
# Co3AuS

Crystalline Co3AuS at its relaxed geometry (PBE, the Alexandria database).

Calculated values
Symmetry: Pm-3m
Energy relative to the elements, uncorrected, kJ per mole of atoms: 19.75
DFT total energy, eV/cell: -27.7
Fermi-level density of states, states/eV/f.u.: 10.931

Structure (POSCAR):
```
Co3AuS
1.0
-1.0064 3.0423 -2.6103
-1.1796 -2.7969 -2.8050
-3.8312 0.0620 1.5493
Au Co S
1 3 1
Direct
0.5000 0.5000 0.5000
0.5000 0.0000 0.0000
0.0000 0.5000 0.0000
0.0000 0.0000 0.5000
0.0000 0.0000 0.0000
```


(4)
# OsRu2S

Crystalline OsRu2S at its relaxed geometry (PBE, the Alexandria database).

Calculated values
Symmetry: Cm
Energy relative to the elements, uncorrected, kJ per mole of atoms: 39.90
DFT total energy, eV/cell: -64.5
Fermi-level density of states, states/eV/f.u.: 3.543

Structure (POSCAR):
```
OsRu2S
1.0
6.3758 0.0000 0.0054
0.0000 2.8480 0.0000
-4.4763 0.0000 6.5636
Ru S Os
4 2 2
Direct
0.6511 0.0000 0.6197
0.8684 0.5000 0.9484
0.6511 0.5000 0.1197
0.8684 0.0000 0.4484
0.2072 0.5000 0.9072
0.2072 0.0000 0.4072
0.3276 0.5000 0.6845
0.3276 0.0000 0.1845
```


(5)
# K2LaCu

Crystalline K2LaCu at its relaxed geometry (PBE, the Alexandria database).

Calculated values
Symmetry: I-42d
ΔE_f, eV/atom: 0.544
DFT total energy, eV/cell: -18.1
Fermi-level density of states, states/eV/f.u.: 4.921

Structure (POSCAR):
```
K2LaCu
1.0
11.7190 0.0000 0.0000
0.0000 11.7190 0.0000
5.8595 5.8595 2.7620
La K Cu
2 4 2
Direct
0.0000 0.0000 0.0000
0.7500 0.2500 0.5000
0.5051 0.1250 0.2500
0.3750 0.4949 0.7500
0.2449 0.6250 0.2500
0.8750 0.7551 0.7500
0.5000 0.5000 0.0000
0.2500 0.7500 0.5000
```


(6)
# Dy14YSc

Crystalline Dy14YSc at its relaxed geometry (PBE, the Alexandria database).

Calculated values
Symmetry: P4/mmm
ΔE_f, eV/atom: 0.023
DFT total energy, eV/cell: -76.8
Fermi-level density of states, states/eV/f.u.: 19.645

Structure (POSCAR):
```
Dy14YSc
1.0
6.9955 0.9386 0.0000
-0.9385 6.9955 0.0000
0.0000 0.0000 9.9602
Y Dy Sc
1 14 1
Direct
0.3751 0.6249 0.0000
0.6268 0.3732 0.7518
0.1232 0.3732 0.7519
0.1231 0.8769 0.2480
0.6268 0.3732 0.2482
0.8749 0.1251 0.5000
0.3748 0.1249 0.5000
0.6268 0.8768 0.7519
0.8750 0.6248 0.0000
0.8751 0.6252 0.5000
0.3752 0.1250 0.0000
0.6268 0.8768 0.2481
0.3750 0.6250 0.5000
0.1232 0.3732 0.2481
0.1231 0.8769 0.7520
0.8751 0.1249 0.0000
```


(7)
# TlGaPb

Crystalline TlGaPb at its relaxed geometry (PBE, the Alexandria database).

Calculated values
Symmetry: Fmmm
ΔE_f, eV/atom: 0.035
DFT total energy, eV/cell: -18.0
Fermi-level density of states, states/eV/f.u.: 1.261

Structure (POSCAR):
```
TlGaPb
1.0
-5.4464 1.2767 -2.2614
2.8532 -5.2629 -0.7537
-1.0652 0.0548 6.1016
Pb Tl Ga
2 2 2
Direct
0.1561 0.1561 0.3122
0.8439 0.8439 0.6878
0.3426 0.6574 0.0000
0.6574 0.3426 0.0000
0.2500 0.7500 0.5000
0.7500 0.2500 0.5000
```


(8)
# Ag2MoW

Crystalline Ag2MoW at its relaxed geometry (PBE, the Alexandria database).

Calculated values
Symmetry: Cm
ΔE_f, eV/atom: 0.573
DFT total energy, eV/cell: -27.2
Fermi-level density of states, states/eV/f.u.: 2.548

Structure (POSCAR):
```
Ag2MoW
1.0
4.8787 -0.0072 0.0023
4.1459 2.5716 0.0023
0.4884 0.1388 5.2986
Ag W Mo
2 1 1
Direct
0.0003 0.0003 0.0099
0.2503 0.2503 0.2389
0.7463 0.7463 0.7371
0.5031 0.5031 0.5141
```